1.
A plane-wave DFT calculation with PBE was carried out for an optimized crystal structure of AcGeBiP.

Cell and atoms, written as POSCAR:
```
AcGeBiP
1.0
-4.271 -0.265 3.132
-4.703 -1.357 -2.039
-2.139 -4.707 1.174
P Ge Ac Bi
1 1 1 1
direct
0.000 0.000 0.000
0.500 0.500 0.500
0.750 0.750 0.750
0.250 0.250 0.250
```

Results
DOS(E_F) ... 2.88 states/eV/f.u.
Crystal system ... cubic
Size of the total moment ... 0.00 μB/f.u.
DFT formation energy ... -1.08 eV/f.u.

2.
A plane-wave DFT calculation with PBE was carried out for an optimized crystal structure of LiNb2TcN.

Cell and atoms, written as POSCAR:
```
LiNb2TcN
1.0
4.320 0.000 0.000
0.000 4.320 0.000
0.000 0.000 3.614
N Nb Tc Li
1 2 1 1
direct
0.000 0.000 0.000
0.000 0.500 0.000
0.500 0.000 0.000
0.500 0.500 0.500
0.000 0.000 0.500
```

Results
DOS(E_F) ... 2.51 states/eV/f.u.
Crystal system ... tetragonal
Formation energy (no corrections) ... -0.367 eV/atom
Size of the total moment ... 0.00 μB/f.u.